1.
## RbLiGe2 (PBE)

Data for a relaxed structure of RbLiGe2.

POSCAR file:
```
RbLiGe2
1.0
5.123 0.000 0.000
0.000 5.123 0.000
0.000 0.000 19.058
Rb Li Ge
4 4 8
Direct
0.000 0.250 0.375
0.000 0.750 0.625
0.500 0.250 0.125
0.500 0.750 0.875
0.000 0.250 0.875
0.000 0.750 0.125
0.500 0.250 0.625
0.500 0.750 0.375
0.000 0.000 0.000
0.000 0.500 0.000
0.250 0.250 0.750
0.250 0.750 0.250
0.500 0.000 0.500
0.500 0.500 0.500
0.750 0.250 0.750
0.750 0.750 0.250
```

Computed properties:
The volume comes out at 500.2 Å³ per cell. The calculation puts the formation energy at 46 meV/atom. Its total energy is -2.98 eV/atom. The space group is No. 141. The crystal system is tetragonal. As for the offset from the most stable computed form: 0.0 meV per atom.

2.
## HgPd4S (PBE)

Data for a relaxed structure of HgPd4S.

POSCAR file:
```
HgPd4S
1.0
5.497 0.000 0.000
0.019 5.577 0.000
2.736 1.364 6.653
Hg Pd S
2 8 2
Direct
0.117 0.250 0.499
0.883 0.750 0.501
0.071 0.110 0.142
0.286 0.612 0.141
0.328 0.562 0.682
0.490 0.062 0.682
0.510 0.938 0.318
0.672 0.438 0.318
0.714 0.388 0.859
0.929 0.890 0.858
0.000 0.500 0.000
0.500 0.000 0.000
```

Computed properties:
The volume comes out at 204.0 Å³ per cell. Its total energy is -4.33 eV/atom. The space group is No. 2. The crystal system is triclinic. The value obtained for the formation energy from raw total energies is -0.80 eV per formula unit.

3.
## SrZnRe2 (PBE)

Data for a relaxed structure of SrZnRe2.

POSCAR file:
```
SrZnRe2
1.0
2.817 0.000 0.000
0.000 4.251 0.000
0.000 0.000 6.745
Sr Zn Re
1 1 2
Direct
0.000 0.000 0.000
0.000 0.000 0.500
0.500 0.500 0.329
0.500 0.500 0.671
```

Computed properties:
The volume comes out at 80.8 Å³ per cell. The calculation puts the formation energy at 790 meV/atom. Its total energy is -6.17 eV/atom. The space group is No. 47. The crystal system is orthorhombic.

4.
## TaMo2Ir (PBE)

Data for a relaxed structure of TaMo2Ir.

POSCAR file:
```
TaMo2Ir
1.0
6.362 0.000 0.000
0.000 6.362 0.000
0.000 0.000 6.362
Ta Mo Ir
4 8 4
Direct
0.000 0.000 0.000
0.000 0.500 0.500
0.500 0.000 0.500
0.500 0.500 0.000
0.250 0.250 0.250
0.250 0.250 0.750
0.250 0.750 0.250
0.250 0.750 0.750
0.750 0.250 0.250
0.750 0.250 0.750
0.750 0.750 0.250
0.750 0.750 0.750
0.000 0.000 0.500
0.000 0.500 0.000
0.500 0.000 0.000
0.500 0.500 0.500
```

Computed properties:
The volume comes out at 257.5 Å³ per cell. The calculation puts the formation energy at 37 meV/atom. Its total energy is -10.56 eV/atom. The space group is No. 225. The crystal system is cubic. As for the offset from the most stable computed form: 190.3 meV per atom.

5.
## FeBi4Pd15 (PBE)

Data for a relaxed structure of FeBi4Pd15.

POSCAR file:
```
FeBi4Pd15
1.0
4.099 0.000 0.000
0.000 4.099 0.000
0.000 0.000 20.373
Fe Bi Pd
1 4 15
Direct
0.000 0.000 0.000
0.000 0.000 0.188
0.000 0.000 0.396
0.000 0.000 0.604
0.000 0.000 0.812
0.000 0.500 0.089
0.000 0.500 0.295
0.000 0.500 0.500
0.000 0.500 0.705
0.000 0.500 0.911
0.500 0.000 0.089
0.500 0.000 0.295
0.500 0.000 0.500
0.500 0.000 0.705
0.500 0.000 0.911
0.500 0.500 0.000
0.500 0.500 0.195
0.500 0.500 0.398
0.500 0.500 0.602
0.500 0.500 0.805
```

Computed properties:
The volume comes out at 342.3 Å³ per cell. The calculation puts the formation energy at -207 meV/atom. Its total energy is -5.30 eV/atom. The space group is No. 123. The crystal system is tetragonal.

Repeat the third record exactly.
## SrZnRe2 (PBE)

Data for a relaxed structure of SrZnRe2.

POSCAR file:
```
SrZnRe2
1.0
2.817 0.000 0.000
0.000 4.251 0.000
0.000 0.000 6.745
Sr Zn Re
1 1 2
Direct
0.000 0.000 0.000
0.000 0.000 0.500
0.500 0.500 0.329
0.500 0.500 0.671
```

Computed properties:
The volume comes out at 80.8 Å³ per cell. The calculation puts the formation energy at 790 meV/atom. Its total energy is -6.17 eV/atom. The space group is No. 47. The crystal system is orthorhombic.